Computed, not measured: a relaxed structure of AcPmCdOs at the GGA-PBE level of DFT.

Unit cell a=5.3028 b=5.3028 c=5.3028 alpha=60.00 beta=60.00 gamma=60.00
Atoms (fractional coordinates):
Ac1 0.0000 0.0000 0.0000
Pm1 0.5000 0.5000 0.5000
Cd1 0.7500 0.7500 0.7500
Os1 0.2500 0.2500 0.2500

Results
E_form: 29 meV/atom
Density: 10.62 g/cm3
SG: F-43m